Arrangement w

First-principles (GGA-PBE) data for a relaxed structure of MnRuW, as listed in Alexandria via LeMat-Bulk.

a b c (Å): 4.2913 4.2913 2.7060
angles (deg): 90.00 90.00 120.00
Last column: nearest neighbours and their distance in Å.
Space group P3m1 (No. 156)
Symmetry-distinct sites (fractional):
Mn: 0.0000 0.0000 0.0000 x1  3 W 2.62, 3 Ru 2.66, 2 Mn 2.71
Ru: 0.6667 0.3333 0.3571 x1  3 W 2.63, 3 Mn 2.66, 2 Ru 2.71
W: 0.3333 0.6667 0.6878 x1  3 Mn 2.62, 3 Ru 2.63, 2 W 2.71

Arrangement x

First-principles (GGA-PBE) data for a relaxed structure of MnRuW, as listed in Alexandria via LeMat-Bulk.

a b c (Å): 2.6940 2.6940 11.3877
angles (deg): 90.00 90.00 90.00
Last column: nearest neighbours and their distance in Å.
Space group I4mm (No. 107)
Symmetry-distinct sites (fractional):
Mn: 0.0000 0.0000 0.0000 x2  4 Ru 2.49, 4 Mn 2.69, 4 W 2.73
Ru: 0.0000 0.0000 0.6410 x2  4 Mn 2.49, 4 Ru 2.69
W: 0.0000 0.0000 0.3282 x2  4 W 2.69, 4 Mn 2.73, 4 Ru 2.86

arrangement x is preferred energetically. Next in line: 23 meV per atom higher.

Arrangement w

First-principles (GGA-PBE) data for a relaxed structure of TaIrBr2, as listed in Alexandria via LeMat-Bulk.

a b c (Å): 3.0006 5.6764 9.2125
angles (deg): 90.00 90.00 90.00
Last column: nearest neighbours and their distance in Å.
Space group Cmmm (No. 65)
Symmetry-distinct sites (fractional):
Ta: 0.0000 0.0000 0.0000 x2  4 Br 2.66
Ir: 0.0000 0.0000 0.5000 x2  4 Br 2.84, 2 Ir 3.00
Br: 0.0000 0.5000 0.2384 x4  2 Ta 2.66, 2 Ir 2.84

Arrangement x

First-principles (GGA-PBE) data for a relaxed structure of TaIrBr2, as listed in Alexandria via LeMat-Bulk.

a b c (Å): 6.7084 6.7084 6.7084
angles (deg): 90.00 90.00 90.00
Last column: nearest neighbours and their distance in Å.
Space group F-43m (No. 216)
Symmetry-distinct sites (fractional):
Ta: 0.0000 0.0000 0.0000 x4  4 Br 2.90, 4 Ir 2.90
Ir: 0.2500 0.2500 0.2500 x4  4 Ta 2.90, 4 Br 2.90
Br: 0.0000 0.0000 0.5000 x4  4 Ir 2.90, 4 Br 2.90
Br: 0.2500 0.2500 0.7500 x4  4 Br 2.90, 4 Ta 2.90

arrangement x is preferred energetically. Next in line: 137 meV per atom higher.